*a*
Below is a relaxed Ge2P2H crystal, with properties calculated at the GGA-PBE level.

Geometry as CIF:
```
data_Ge2P2H
_chemical_formula_sum 'Ge4 P4 H2'
_cell_length_a 4.0162
_cell_length_b 4.0162
_cell_length_c 11.5723
_cell_angle_alpha 90.00
_cell_angle_beta 90.00
_cell_angle_gamma 90.00
_symmetry_space_group_name_H-M 'I 4/m m m'
_symmetry_Int_Tables_number 139
_symmetry_space_group_name_Hall '-I 4 2'
loop_
_atom_site_label
_atom_site_type_symbol
_atom_site_fract_x
_atom_site_fract_y
_atom_site_fract_z
_atom_site_occupancy
Ge1 Ge 0.0000 0.0000 0.1162 1
P1 P 0.0000 0.5000 0.2500 1
H1 H 0.0000 0.0000 0.5000 1
```

## Properties
Spin magnetization   0.00 Bohr magnetons per cell
V   186.66 Å³/cell

*b*
Below is a relaxed Ge2P2H crystal, with properties calculated at the GGA-PBE level.

Geometry as CIF:
```
data_Ge2P2H
_chemical_formula_sum 'Ge4 P4 H2'
_cell_length_a 5.1612
_cell_length_b 5.1612
_cell_length_c 5.6640
_cell_angle_alpha 90.00
_cell_angle_beta 90.00
_cell_angle_gamma 90.00
_symmetry_space_group_name_H-M 'I 4/m m m'
_symmetry_Int_Tables_number 139
_symmetry_space_group_name_Hall '-I 4 2'
loop_
_atom_site_label
_atom_site_type_symbol
_atom_site_fract_x
_atom_site_fract_y
_atom_site_fract_z
_atom_site_occupancy
Ge1 Ge 0.0000 0.5000 0.2500 1
P1 P 0.0000 0.0000 0.2082 1
H1 H 0.0000 0.0000 0.5000 1
```

## Properties
Spin magnetization   0.00 Bohr magnetons per cell
V   150.88 Å³/cell

It is *a* that is the least stable of them.

*a*
Below is a relaxed Ge2P2H crystal, with properties calculated at the GGA-PBE level.

Geometry as CIF:
```
data_Ge2P2H
_chemical_formula_sum 'Ge4 P4 H2'
_cell_length_a 6.8261
_cell_length_b 6.8261
_cell_length_c 3.3436
_cell_angle_alpha 90.00
_cell_angle_beta 90.00
_cell_angle_gamma 90.00
_symmetry_space_group_name_H-M 'P 4/m b m'
_symmetry_Int_Tables_number 127
_symmetry_space_group_name_Hall '-P 4 2ab'
loop_
_atom_site_label
_atom_site_type_symbol
_atom_site_fract_x
_atom_site_fract_y
_atom_site_fract_z
_atom_site_occupancy
Ge1 Ge 0.1525 0.3475 0.0000 1
P1 P 0.1580 0.6580 0.5000 1
H1 H 0.0000 0.0000 0.5000 1
```

## Properties
Spin magnetization   0.00 Bohr magnetons per cell
V   155.80 Å³/cell

*b*
Below is a relaxed Ge2P2H crystal, with properties calculated at the GGA-PBE level.

Geometry as CIF:
```
data_Ge2P2H
_chemical_formula_sum 'Ge8 P8 H4'
_cell_length_a 17.9319
_cell_length_b 3.6084
_cell_length_c 6.4686
_cell_angle_alpha 90.00
_cell_angle_beta 109.08
_cell_angle_gamma 90.00
_symmetry_space_group_name_H-M 'C 1 2/m 1'
_symmetry_Int_Tables_number 12
_symmetry_space_group_name_Hall '-C 2y'
loop_
_atom_site_label
_atom_site_type_symbol
_atom_site_fract_x
_atom_site_fract_y
_atom_site_fract_z
_atom_site_occupancy
Ge1 Ge 0.0611 0.0000 0.2709 1
Ge2 Ge 0.0714 0.5000 0.7456 1
P1 P 0.1220 0.5000 0.1372 1
P2 P 0.1408 0.0000 0.6506 1
H1 H 0.2071 0.5000 0.2200 1
```

## Properties
Spin magnetization   0.00 Bohr magnetons per cell
V   395.57 Å³/cell

It is *a* that is the least stable of them.

*a*
Below is a relaxed Ge3PH crystal, with properties calculated at the GGA-PBE level.

Geometry as CIF:
```
data_Ge3PH
_chemical_formula_sum 'Ge3 P1 H1'
_cell_length_a 4.8682
_cell_length_b 4.8682
_cell_length_c 4.8682
_cell_angle_alpha 90.00
_cell_angle_beta 90.00
_cell_angle_gamma 90.00
_symmetry_space_group_name_H-M 'P m -3 m'
_symmetry_Int_Tables_number 221
_symmetry_space_group_name_Hall '-P 4 2 3'
loop_
_atom_site_label
_atom_site_type_symbol
_atom_site_fract_x
_atom_site_fract_y
_atom_site_fract_z
_atom_site_occupancy
Ge1 Ge 0.0000 0.0000 0.5000 1
P1 P 0.0000 0.0000 0.0000 1
H1 H 0.5000 0.5000 0.5000 1
```

## Properties
Spin magnetization   0.00 Bohr magnetons per cell
V   115.37 Å³/cell

*b*
Below is a relaxed Ge3PH crystal, with properties calculated at the GGA-PBE level.

Geometry as CIF:
```
data_Ge3PH
_chemical_formula_sum 'Ge3 P1 H1'
_cell_length_a 4.2736
_cell_length_b 4.2736
_cell_length_c 4.2736
_cell_angle_alpha 90.00
_cell_angle_beta 90.00
_cell_angle_gamma 90.00
_symmetry_space_group_name_H-M 'P m -3 m'
_symmetry_Int_Tables_number 221
_symmetry_space_group_name_Hall '-P 4 2 3'
loop_
_atom_site_label
_atom_site_type_symbol
_atom_site_fract_x
_atom_site_fract_y
_atom_site_fract_z
_atom_site_occupancy
Ge1 Ge 0.0000 0.0000 0.5000 1
P1 P 0.5000 0.5000 0.5000 1
H1 H 0.0000 0.0000 0.0000 1
```

## Properties
Spin magnetization   0.00 Bohr magnetons per cell
V   78.05 Å³/cell

It is *a* that is the least stable of them.

*a*
Below is a relaxed GeP2H crystal, with properties calculated at the GGA-PBE level.

Geometry as CIF:
```
data_GeP2H
_chemical_formula_sum 'Ge4 P8 H4'
_cell_length_a 5.9865
_cell_length_b 5.9865
_cell_length_c 5.9865
_cell_angle_alpha 90.00
_cell_angle_beta 90.00
_cell_angle_gamma 90.00
_symmetry_space_group_name_H-M 'F m -3 m'
_symmetry_Int_Tables_number 225
_symmetry_space_group_name_Hall '-F 4 2 3'
loop_
_atom_site_label
_atom_site_type_symbol
_atom_site_fract_x
_atom_site_fract_y
_atom_site_fract_z
_atom_site_occupancy
Ge1 Ge 0.0000 0.0000 0.0000 1
P1 P 0.2500 0.2500 0.2500 1
H1 H 0.0000 0.0000 0.5000 1
```

## Properties
Spin magnetization   0.00 Bohr magnetons per cell
V   214.55 Å³/cell

*b*
Below is a relaxed GeP2H crystal, with properties calculated at the GGA-PBE level.

Geometry as CIF:
```
data_GeP2H
_chemical_formula_sum 'Ge4 P8 H4'
_cell_length_a 5.0609
_cell_length_b 5.0609
_cell_length_c 9.7807
_cell_angle_alpha 90.00
_cell_angle_beta 90.00
_cell_angle_gamma 90.00
_symmetry_space_group_name_H-M 'I -4 2 d'
_symmetry_Int_Tables_number 122
_symmetry_space_group_name_Hall 'I -4 2bw'
loop_
_atom_site_label
_atom_site_type_symbol
_atom_site_fract_x
_atom_site_fract_y
_atom_site_fract_z
_atom_site_occupancy
Ge1 Ge 0.0000 0.0000 0.0000 1
P1 P 0.1875 0.2500 0.6250 1
H1 H 0.0000 0.0000 0.5000 1
```

## Properties
Spin magnetization   0.00 Bohr magnetons per cell
V   250.51 Å³/cell

*c*
Below is a relaxed GeP2H crystal, with properties calculated at the GGA-PBE level.

Geometry as CIF:
```
data_GeP2H
_chemical_formula_sum 'Ge3 P6 H3'
_cell_length_a 3.5770
_cell_length_b 3.5770
_cell_length_c 18.5605
_cell_angle_alpha 90.00
_cell_angle_beta 90.00
_cell_angle_gamma 120.00
_symmetry_space_group_name_H-M 'R -3 m'
_symmetry_Int_Tables_number 166
_symmetry_space_group_name_Hall '-R 3 2"'
loop_
_atom_site_label
_atom_site_type_symbol
_atom_site_fract_x
_atom_site_fract_y
_atom_site_fract_z
_atom_site_occupancy
Ge1 Ge 0.0000 0.0000 0.0000 1
P1 P 0.0000 0.0000 0.4077 1
H1 H 0.0000 0.0000 0.5000 1
```

## Properties
Spin magnetization   0.00 Bohr magnetons per cell
V   205.67 Å³/cell

*d*
Below is a relaxed GeP2H crystal, with properties calculated at the GGA-PBE level.

Geometry as CIF:
```
data_GeP2H
_chemical_formula_sum 'Ge2 P4 H2'
_cell_length_a 4.4267
_cell_length_b 5.5236
_cell_length_c 6.9758
_cell_angle_alpha 71.38
_cell_angle_beta 81.58
_cell_angle_gamma 81.86
_symmetry_space_group_name_H-M 'P 1'
_symmetry_Int_Tables_number 1
_symmetry_space_group_name_Hall 'P 1'
loop_
_atom_site_label
_atom_site_type_symbol
_atom_site_fract_x
_atom_site_fract_y
_atom_site_fract_z
_atom_site_occupancy
Ge1 Ge 0.0000 0.0000 0.0000 1
Ge2 Ge 0.0644 0.8675 0.5441 1
P1 P 0.3324 0.6779 0.8465 1
P2 P 0.4368 0.0718 0.2783 1
P3 P 0.6426 0.9791 0.7679 1
P4 P 0.7791 0.7268 0.3347 1
H1 H 0.4731 0.2253 0.6959 1
H2 H 0.5632 0.2403 0.3587 1
```

## Properties
Spin magnetization   0.00 Bohr magnetons per cell
V   159.08 Å³/cell

It is *a* that is the least stable of them.

*a*
Below is a relaxed Pa2GeH crystal, with properties calculated at the GGA-PBE level.

Geometry as CIF:
```
data_Pa2GeH
_chemical_formula_sum 'Pa2 Ge1 H1'
_cell_length_a 3.2604
_cell_length_b 3.2604
_cell_length_c 6.6957
_cell_angle_alpha 90.00
_cell_angle_beta 90.00
_cell_angle_gamma 90.00
_symmetry_space_group_name_H-M 'P 4/m m m'
_symmetry_Int_Tables_number 123
_symmetry_space_group_name_Hall '-P 4 2'
loop_
_atom_site_label
_atom_site_type_symbol
_atom_site_fract_x
_atom_site_fract_y
_atom_site_fract_z
_atom_site_occupancy
Pa1 Pa 0.0000 0.0000 0.2024 1
Ge1 Ge 0.5000 0.5000 0.5000 1
H1 H 0.5000 0.5000 0.0000 1
```

## Properties
Spin magnetization   0.04 Bohr magnetons per cell
V   71.18 Å³/cell

*b*
Below is a relaxed Pa2GeH crystal, with properties calculated at the GGA-PBE level.

Geometry as CIF:
```
data_Pa2GeH
_chemical_formula_sum 'Pa6 Ge3 H3'
_cell_length_a 4.0670
_cell_length_b 4.0670
_cell_length_c 15.7578
_cell_angle_alpha 90.00
_cell_angle_beta 90.00
_cell_angle_gamma 120.00
_symmetry_space_group_name_H-M 'R -3 m'
_symmetry_Int_Tables_number 166
_symmetry_space_group_name_Hall '-R 3 2"'
loop_
_atom_site_label
_atom_site_type_symbol
_atom_site_fract_x
_atom_site_fract_y
_atom_site_fract_z
_atom_site_occupancy
Pa1 Pa 0.0000 0.0000 0.2284 1
Ge1 Ge 0.0000 0.0000 0.0000 1
H1 H 0.0000 0.0000 0.5000 1
```

## Properties
Spin magnetization   0.00 Bohr magnetons per cell
V   225.73 Å³/cell

*c*
Below is a relaxed Pa2GeH crystal, with properties calculated at the GGA-PBE level.

Geometry as CIF:
```
data_Pa2GeH
_chemical_formula_sum 'Pa8 Ge4 H4'
_cell_length_a 3.1409
_cell_length_b 13.1351
_cell_length_c 7.1222
_cell_angle_alpha 90.00
_cell_angle_beta 90.00
_cell_angle_gamma 90.00
_symmetry_space_group_name_H-M 'C m c m'
_symmetry_Int_Tables_number 63
_symmetry_space_group_name_Hall '-C 2c 2'
loop_
_atom_site_label
_atom_site_type_symbol
_atom_site_fract_x
_atom_site_fract_y
_atom_site_fract_z
_atom_site_occupancy
Pa1 Pa 0.0000 0.1401 0.0052 1
Ge1 Ge 0.0000 0.4956 0.2500 1
H1 H 0.0000 0.2755 0.7500 1
```

## Properties
Spin magnetization   0.03 Bohr magnetons per cell
V   293.83 Å³/cell

It is *a* that is the least stable of them.

*a*
Below is a relaxed Ge3HPb crystal, with properties calculated at the GGA-PBE level.

Geometry as CIF:
```
data_Ge3HPb
_chemical_formula_sum 'Ge3 H1 Pb1'
_cell_length_a 5.5673
_cell_length_b 5.5673
_cell_length_c 5.5673
_cell_angle_alpha 90.00
_cell_angle_beta 90.00
_cell_angle_gamma 90.00
_symmetry_space_group_name_H-M 'P m -3 m'
_symmetry_Int_Tables_number 221
_symmetry_space_group_name_Hall '-P 4 2 3'
loop_
_atom_site_label
_atom_site_type_symbol
_atom_site_fract_x
_atom_site_fract_y
_atom_site_fract_z
_atom_site_occupancy
Ge1 Ge 0.0000 0.0000 0.5000 1
H1 H 0.5000 0.5000 0.5000 1
Pb1 Pb 0.0000 0.0000 0.0000 1
```

## Properties
Spin magnetization   0.90 Bohr magnetons per cell
V   172.56 Å³/cell

*b*
Below is a relaxed Ge3HPb crystal, with properties calculated at the GGA-PBE level.

Geometry as CIF:
```
data_Ge3HPb
_chemical_formula_sum 'Ge3 H1 Pb1'
_cell_length_a 4.5536
_cell_length_b 4.5536
_cell_length_c 4.5536
_cell_angle_alpha 90.00
_cell_angle_beta 90.00
_cell_angle_gamma 90.00
_symmetry_space_group_name_H-M 'P m -3 m'
_symmetry_Int_Tables_number 221
_symmetry_space_group_name_Hall '-P 4 2 3'
loop_
_atom_site_label
_atom_site_type_symbol
_atom_site_fract_x
_atom_site_fract_y
_atom_site_fract_z
_atom_site_occupancy
Ge1 Ge 0.0000 0.0000 0.5000 1
H1 H 0.0000 0.0000 0.0000 1
Pb1 Pb 0.5000 0.5000 0.5000 1
```

## Properties
Spin magnetization   0.00 Bohr magnetons per cell
V   94.42 Å³/cell

It is *a* that is the least stable of them.

*a*
Below is a relaxed GeH2Pd2 crystal, with properties calculated at the GGA-PBE level.

Geometry as CIF:
```
data_GeH2Pd2
_chemical_formula_sum 'Ge2 H4 Pd4'
_cell_length_a 3.1189
_cell_length_b 3.1189
_cell_length_c 11.2054
_cell_angle_alpha 90.00
_cell_angle_beta 90.00
_cell_angle_gamma 90.00
_symmetry_space_group_name_H-M 'I 4/m m m'
_symmetry_Int_Tables_number 139
_symmetry_space_group_name_Hall '-I 4 2'
loop_
_atom_site_label
_atom_site_type_symbol
_atom_site_fract_x
_atom_site_fract_y
_atom_site_fract_z
_atom_site_occupancy
Ge1 Ge 0.0000 0.0000 0.0000 1
H1 H 0.0000 0.5000 0.2500 1
Pd1 Pd 0.0000 0.0000 0.3467 1
```

## Properties
Spin magnetization   0.00 Bohr magnetons per cell
V   109.00 Å³/cell

*b*
Below is a relaxed GeH2Pd2 crystal, with properties calculated at the GGA-PBE level.

Geometry as CIF:
```
data_GeH2Pd2
_chemical_formula_sum 'Ge2 H4 Pd4'
_cell_length_a 6.3369
_cell_length_b 6.3369
_cell_length_c 2.8949
_cell_angle_alpha 90.00
_cell_angle_beta 90.00
_cell_angle_gamma 90.00
_symmetry_space_group_name_H-M 'P 4/m b m'
_symmetry_Int_Tables_number 127
_symmetry_space_group_name_Hall '-P 4 2ab'
loop_
_atom_site_label
_atom_site_type_symbol
_atom_site_fract_x
_atom_site_fract_y
_atom_site_fract_z
_atom_site_occupancy
Ge1 Ge 0.0000 0.0000 0.0000 1
H1 H 0.0964 0.4036 0.0000 1
Pd1 Pd 0.2041 0.2959 0.5000 1
```

## Properties
Spin magnetization   0.00 Bohr magnetons per cell
V   116.25 Å³/cell

It is *b* that is the least stable of them.

*a*
Below is a relaxed GeHPd crystal, with properties calculated at the GGA-PBE level.

Geometry as CIF:
```
data_GeHPd
_chemical_formula_sum 'Ge4 H4 Pd4'
_cell_length_a 4.9298
_cell_length_b 4.9224
_cell_length_c 6.7371
_cell_angle_alpha 90.00
_cell_angle_beta 111.02
_cell_angle_gamma 90.00
_symmetry_space_group_name_H-M 'C 1 2/m 1'
_symmetry_Int_Tables_number 12
_symmetry_space_group_name_Hall '-C 2y'
loop_
_atom_site_label
_atom_site_type_symbol
_atom_site_fract_x
_atom_site_fract_y
_atom_site_fract_z
_atom_site_occupancy
Ge1 Ge 0.1078 0.0000 0.2153 1
H1 H 0.0516 0.5000 0.0955 1
Pd1 Pd 0.1826 0.5000 0.3629 1
```

## Properties
Spin magnetization   0.00 Bohr magnetons per cell
V   152.60 Å³/cell

*b*
Below is a relaxed GeHPd crystal, with properties calculated at the GGA-PBE level.

Geometry as CIF:
```
data_GeHPd
_chemical_formula_sum 'Ge2 H2 Pd2'
_cell_length_a 3.6528
_cell_length_b 3.6528
_cell_length_c 6.1605
_cell_angle_alpha 90.00
_cell_angle_beta 90.00
_cell_angle_gamma 90.00
_symmetry_space_group_name_H-M 'I 4 m m'
_symmetry_Int_Tables_number 107
_symmetry_space_group_name_Hall 'I 4 -2'
loop_
_atom_site_label
_atom_site_type_symbol
_atom_site_fract_x
_atom_site_fract_y
_atom_site_fract_z
_atom_site_occupancy
Ge1 Ge 0.0000 0.0000 0.0000 1
H1 H 0.0000 0.0000 0.7041 1
Pd1 Pd 0.0000 0.0000 0.4295 1
```

## Properties
Spin magnetization   0.00 Bohr magnetons per cell
V   82.20 Å³/cell

It is *b* that is the least stable of them.